(1)
Below is CoPb2Br after structural relaxation, with properties calculated at the PBE-GGA level.

```
CoPb2Br
1.0
6.533 0.000 0.000
0.000 6.533 0.000
3.267 3.267 6.261
Pb Co Br
4 2 2
direct
0.531 0.125 0.250 Pb
0.219 0.625 0.250 Pb
0.375 0.469 0.750 Pb
0.875 0.781 0.750 Pb
0.500 0.500 0.000 Co
0.250 0.750 0.500 Co
0.000 0.000 0.000 Br
0.750 0.250 0.500 Br
```

Results
Crystal system = tetragonal
Polymorph energy (0 for the lowest one) = 157.0 meV/atom
Symmetry = I-42d, No. 122
Formation energy from raw total energies = 254 meV/atom

***

(2)
Below is TlBPd3 after structural relaxation, with properties calculated at the PBE-GGA level.

```
TlBPd3
1.0
-5.345 -0.353 4.573
2.328 -3.092 6.028
-0.953 6.466 2.931
Tl B Pd
4 4 12
direct
0.250 0.051 0.949 Tl
0.750 0.949 0.051 Tl
0.250 0.355 0.645 Tl
0.750 0.645 0.355 Tl
0.721 0.433 0.764 B
0.779 0.236 0.567 B
0.279 0.567 0.236 B
0.221 0.764 0.433 B
0.485 0.693 0.029 Pd
0.015 0.971 0.307 Pd
0.515 0.307 0.971 Pd
0.985 0.029 0.693 Pd
0.878 0.385 0.980 Pd
0.622 0.020 0.615 Pd
0.122 0.615 0.020 Pd
0.378 0.980 0.385 Pd
0.365 0.700 0.656 Pd
0.135 0.344 0.300 Pd
0.635 0.300 0.344 Pd
0.865 0.656 0.700 Pd
```

Results
Crystal system = monoclinic
Polymorph energy (0 for the lowest one) = 97.6 meV/atom
Symmetry = C2/c, No. 15
ΔE_f = -56.6 meV per atom

***

(3)
Below is Ir2Os3 after structural relaxation, with properties calculated at the PBE-GGA level.

```
Ir2Os3
1.0
0.000 4.599 6.727
2.368 0.000 6.727
2.368 4.599 0.000
Ir Os
4 6
direct
0.358 0.546 0.189 Ir
0.907 0.189 0.546 Ir
0.704 0.892 0.343 Ir
0.061 0.343 0.892 Ir
0.343 0.463 0.725 Os
0.469 0.725 0.463 Os
0.787 0.907 0.781 Os
0.525 0.781 0.907 Os
0.923 0.077 0.077 Os
0.173 0.327 0.327 Os
```

Results
Crystal system = orthorhombic
Polymorph energy (0 for the lowest one) = 0.0 meV/atom
Symmetry = Fdd2, No. 43
ΔE_f = 219.7 meV per atom

***

(4)
Below is MgSc2Cu after structural relaxation, with properties calculated at the PBE-GGA level.

```
MgSc2Cu
1.0
-3.670 -1.505 -1.866
1.811 -2.091 -1.876
0.489 -5.016 3.084
Cu Mg Sc
1 1 2
direct
0.000 0.701 0.471 Cu
0.500 0.562 0.752 Mg
0.000 0.949 0.977 Sc
0.500 0.288 0.300 Sc
```

Results
Crystal system = orthorhombic
Symmetry = Amm2, No. 38
ΔE_f = -6.7 meV per atom

***

| no. | Fermi-level density of states (states/eV/atom) |
| --- | --- |
| 1 | 0.334 |
| 2 | 0.328 |
| 3 | 0.778 |
| 4 | 1.501 |